Record 1
Entry from the Alexandria database: a relaxed structure of Nd4SeS3 (GGA-PBE).

The structure in POSCAR format:
```
Nd4SeS3
1.0
5.8178 0.0000 0.0000
0.0000 5.8178 0.0000
0.0000 0.0000 5.8178
Nd Se S
4 1 3
direct
0.0000 0.0000 0.0000
0.0000 0.5000 0.5000
0.5000 0.0000 0.5000
0.5000 0.5000 0.0000
0.5000 0.5000 0.5000
0.0000 0.0000 0.5000
0.0000 0.5000 0.0000
0.5000 0.0000 0.0000
```

Distance to the lowest polymorph of the same formula = 0.20 eV/f.u.

=====

Record 2
Entry from the Alexandria database: a relaxed structure of Nd6Se2S3 (GGA-PBE).

The structure in POSCAR format:
```
Nd6Se2S3
1.0
2.0428 1.1794 20.2146
-2.0428 1.1794 20.2146
0.0000 -2.3588 20.2146
Nd Se S
6 2 3
direct
0.0814 0.0814 0.0814
0.1912 0.1912 0.1912
0.3607 0.3607 0.3607
0.6393 0.6393 0.6393
0.8088 0.8088 0.8088
0.9186 0.9186 0.9186
0.4450 0.4450 0.4450
0.5550 0.5550 0.5550
0.0000 0.0000 0.0000
0.2788 0.2788 0.2788
0.7212 0.7212 0.7212
```

Electronic total energy = -67.15 eV per formula unit

=====

Ρ, record by record: 6.3 6.4 g cm⁻³
V, record by record: 196.91 292.22 Å³/cell